[1]
Entry from Alexandria: crystalline Np2NbS4 at its relaxed geometry (PBE-GGA).

Cell: 6.754 6.754 12.571 Å, 90.00 90.00 148.99°
Positions (direct):
Np 0.133 0.867 0.580
Np 0.133 0.867 0.920
Np 0.867 0.133 0.080
Np 0.867 0.133 0.420
Nb 0.356 0.644 0.750
Nb 0.644 0.356 0.250
S 0.001 0.999 0.750
S 0.218 0.782 0.126
S 0.218 0.782 0.374
S 0.500 0.500 0.000
S 0.500 0.500 0.500
S 0.782 0.218 0.626
S 0.782 0.218 0.874
S 0.999 0.001 0.250

Values from the calculation:
Uncorrected formation energy, eV per atom: -1.003
Magnetization, μB per formula unit: 7.80
Space-group type: Cmcm



[2]
Entry from Alexandria: crystalline NpNbS at its relaxed geometry (PBE-GGA).

Cell: 6.124 6.124 6.124 Å, 149.97 149.97 42.99°
Positions (direct):
Np 0.000 0.000 0.000
Nb 0.704 0.704 0.000
S 0.312 0.312 0.000

Values from the calculation:
Uncorrected formation energy, eV per atom: -0.304
Energy above the lowest structure with this stoichiometry, meV/atom: 33
Magnetization, μB per formula unit: 4.04
Space-group type: I4mm



[3]
Entry from Alexandria: crystalline NpNbS at its relaxed geometry (PBE-GGA).

Cell: 3.294 3.294 9.385 Å, 90.00 90.00 90.00°
Positions (direct):
Np 0.250 0.250 0.053
Np 0.750 0.750 0.947
Nb 0.250 0.250 0.385
Nb 0.750 0.750 0.615
S 0.250 0.250 0.738
S 0.750 0.750 0.262

Values from the calculation:
Uncorrected formation energy, eV per atom: -0.337
Energy above the lowest structure with this stoichiometry, meV/atom: 0
Magnetization, μB per formula unit: 0.00
Space-group type: P4/nmm



no.,total energy (eV per atom)
1,-8.4970
2,-9.3498
3,-9.3832